(1)
# ScAsPBr2 | the Alexandria database | PBE-GGA | relaxed
# M_tot in Bohr magnetons per cell: 0.363
# Fermi-level density of states in states/eV/cell: 3.507
# DFT total energy in eV/atom: -3.78
# E_form (uncorrected) in eV/atom: 0.17
data_ScAsPBr2
_cell_length_a 4.8890
_cell_length_b 4.8890
_cell_length_c 5.1772
_cell_angle_alpha 90.00
_cell_angle_beta 90.00
_cell_angle_gamma 90.00
_symmetry_space_group_name_H-M 'P 4/m m m'
_symmetry_Int_Tables_number 123
_symmetry_space_group_name_Hall '-P 4 2'
loop_
_atom_site_label
_atom_site_fract_x
_atom_site_fract_y
_atom_site_fract_z
_atom_site_occupancy
Sc1 0.0000 0.0000 0.0000 1
As1 0.5000 0.5000 0.0000 1
P1 0.5000 0.5000 0.5000 1
Br1 0.0000 0.5000 0.5000 1

---

(2)
# Dy3As2N | the Alexandria database | PBE-GGA | relaxed
# M_tot in Bohr magnetons per cell: 0.000
# Fermi-level density of states in states/eV/cell: 1.352
# DFT total energy in eV/atom: -6.52
# E_form (uncorrected) in eV/atom: -1.28
data_Dy3As2N
_cell_length_a 10.7979
_cell_length_b 7.7243
_cell_length_c 6.4117
_cell_angle_alpha 90.00
_cell_angle_beta 90.00
_cell_angle_gamma 90.00
_symmetry_space_group_name_H-M 'C m c m'
_symmetry_Int_Tables_number 63
_symmetry_space_group_name_Hall '-C 2c 2'
loop_
_atom_site_label
_atom_site_fract_x
_atom_site_fract_y
_atom_site_fract_z
_atom_site_occupancy
Dy1 0.0000 0.1314 0.2500 1
Dy2 0.1537 0.5000 0.0000 1
As1 0.1604 0.1795 0.7500 1
N1 0.0000 0.4204 0.2500 1